1.
Computed, not measured: NaPr3Tm2Te6 after structural relaxation at the PBE level of DFT.

a b c (Å): 10.006 10.006 8.973
angles (deg): 103.79 103.79 25.45
Fractional positions:
Na (0.000, 0.000, 0.000)
Pr (0.000, 0.000, 0.500)
Pr (0.341, 0.341, 0.179)
Pr (0.659, 0.659, 0.821)
Tm (0.335, 0.335, 0.664)
Tm (0.665, 0.665, 0.336)
Te (0.169, 0.169, 0.095)
Te (0.171, 0.171, 0.572)
Te (0.493, 0.493, 0.755)
Te (0.507, 0.507, 0.245)
Te (0.829, 0.829, 0.428)
Te (0.831, 0.831, 0.905)

## Properties
DFT total energy	-4.9532	eV per atom
Fermi-level density of states	0.338	states/eV/atom
uncorrected formation energy	-1.33	eV per atom


2.
Computed, not measured: ZrSbS2 after structural relaxation at the PBE level of DFT.

a b c (Å): 8.936 8.936 8.936
angles (deg): 22.87 22.87 22.87
Fractional positions:
Zr (0.000, 0.000, 0.000)
Sb (0.500, 0.500, 0.500)
S (0.394, 0.394, 0.394)
S (0.606, 0.606, 0.606)

## Properties
DFT total energy	-6.2167	eV per atom
Fermi-level density of states	0.441	states/eV/atom
uncorrected formation energy	-0.99	eV per atom


3.
Computed, not measured: Pr8Ge5Br after structural relaxation at the PBE level of DFT.

a b c (Å): 7.997 7.997 7.997
angles (deg): 109.49 109.49 109.43
Fractional positions:
Pr (0.235, 0.488, 0.605)
Pr (0.370, 0.765, 0.253)
Pr (0.372, 0.254, 0.258)
Pr (0.512, 0.117, 0.747)
Pr (0.746, 0.004, 0.118)
Pr (0.883, 0.630, 0.395)
Pr (0.885, 0.628, 0.882)
Pr (0.996, 0.115, 0.742)
Ge (0.001, 0.379, 0.124)
Ge (0.124, 0.999, 0.378)
Ge (0.255, 0.876, 0.876)
Ge (0.621, 0.745, 0.622)
Ge (0.750, 0.250, 0.500)
Br (0.500, 0.500, 0.000)

## Properties
DFT total energy	-5.3359	eV per atom
Fermi-level density of states	0.916	states/eV/atom
uncorrected formation energy	-0.84	eV per atom


4.
Computed, not measured: RbTaP2Ir after structural relaxation at the PBE level of DFT.

a b c (Å): 4.843 4.843 5.094
angles (deg): 90.00 90.00 90.00
Fractional positions:
Rb (0.000, 0.000, 0.000)
Ta (0.500, 0.500, 0.000)
P (0.000, 0.500, 0.500)
P (0.500, 0.000, 0.500)
Ir (0.500, 0.500, 0.500)

## Properties
DFT total energy	-5.5667	eV per atom
energy of formation from the pure elements	4.7	eV/f.u.
Fermi-level density of states	0.996	states/eV/atom


5.
Computed, not measured: Nd5TmHg6 after structural relaxation at the PBE level of DFT.

a b c (Å): 5.368 7.657 8.517
angles (deg): 90.00 108.26 90.00
Fractional positions:
Nd (0.000, 0.000, 0.000)
Nd (0.330, 0.000, 0.661)
Nd (0.334, 0.500, 0.667)
Nd (0.666, 0.500, 0.333)
Nd (0.670, 0.000, 0.339)
Tm (0.000, 0.500, 0.000)
Hg (0.161, 0.257, 0.323)
Hg (0.161, 0.743, 0.323)
Hg (0.500, 0.260, 0.000)
Hg (0.500, 0.740, 0.000)
Hg (0.839, 0.257, 0.677)
Hg (0.839, 0.743, 0.677)

## Properties
DFT total energy	-2.9776	eV per atom
energy of formation from the pure elements	-5.6	eV/f.u.
Fermi-level density of states	1.126	states/eV/atom


6.
Computed, not measured: NaMgCr3 after structural relaxation at the PBE level of DFT.

a b c (Å): 5.197 5.197 5.197
angles (deg): 90.00 90.00 90.00
Fractional positions:
Na (0.000, 0.000, 0.000)
Mg (0.500, 0.500, 0.500)
Cr (0.000, 0.500, 0.500)
Cr (0.500, 0.000, 0.500)
Cr (0.500, 0.500, 0.000)

## Properties
DFT total energy	-4.8498	eV per atom
distance to the lowest polymorph of the same formula	0	kJ/mol of formula units
energy of formation from the pure elements	7.5	eV/f.u.
Fermi-level density of states	0.816	states/eV/atom


7.
Computed, not measured: GeBi2TePd after structural relaxation at the PBE level of DFT.

a b c (Å): 5.404 5.404 5.243
angles (deg): 90.00 90.00 90.00
Fractional positions:
Ge (0.000, 0.000, 0.000)
Bi (0.000, 0.500, 0.500)
Bi (0.500, 0.000, 0.500)
Te (0.500, 0.500, 0.000)
Pd (0.500, 0.500, 0.500)

## Properties
DFT total energy	-3.7062	eV per atom
Fermi-level density of states	0.875	states/eV/atom
uncorrected formation energy	0.44	eV per atom


8.
Computed, not measured: Fe2PtCl after structural relaxation at the PBE level of DFT.

a b c (Å): 3.727 2.869 6.515
angles (deg): 90.00 90.07 90.00
Fractional positions:
Fe (0.001, 0.000, 0.188)
Fe (0.999, 0.000, 0.812)
Pt (0.500, 0.500, 0.000)
Cl (0.000, 0.500, 0.500)

## Properties
DFT total energy	-6.2608	eV per atom
distance to the lowest polymorph of the same formula	0	kJ/mol of formula units
Fermi-level density of states	0.319	states/eV/atom
uncorrected formation energy	-0.06	eV per atom